[1]
Here is a relaxed structure of SnHgPO2 from Alexandria. Energies are from PBE.

Computed properties:
Space group   P4/mmm (123)
V   89.1 Å³/cell
Excess energy over the best structure of this formula in the dataset   0 meV/atom
Total moment   0.07 μB/atom

a = 3.9684 Å, b = 3.9684 Å, c = 5.6564 Å
α = 90.00°, β = 90.00°, γ = 90.00°
Each line ends with the local moment (μB).
Element x y z (fractional)
P 0.0000 0.0000 0.5000  0.03
Hg 0.5000 0.5000 0.5000  0.00
O 0.0000 0.5000 0.0000  0.12
O 0.5000 0.0000 0.0000  0.12
Sn 0.0000 0.0000 0.0000  -0.01

***

[2]
Here is a relaxed structure of VFe2Ir2 from Alexandria. Energies are from PBE.

Computed properties:
Space group   P4/mbm (127)
Formation energy   -0.008 eV/atom
V   132.3 Å³/cell
Excess energy over the best structure of this formula in the dataset   0 meV/atom
Total moment   0.36 μB/atom

a = 7.0195 Å, b = 7.0195 Å, c = 2.6853 Å
α = 90.00°, β = 90.00°, γ = 90.00°
Each line ends with the local moment (μB).
Element x y z (fractional)
Ir 0.1775 0.6775 0.5000  0.06
Ir 0.6775 0.8225 0.5000  0.06
Ir 0.8225 0.3225 0.5000  0.06
Ir 0.3225 0.1775 0.5000  0.06
Fe 0.3818 0.8818 0.0000  1.13
Fe 0.8818 0.6182 0.0000  1.13
Fe 0.6182 0.1182 0.0000  1.13
Fe 0.1182 0.3818 0.0000  1.13
V 0.0000 0.0000 0.0000  -0.52
V 0.5000 0.5000 0.0000  -0.52

***

Which of these has the highest V? VFe2Ir2

***

Which value of total moment does entry 1 give? 0.07 μB/atom

***

Which value of excess energy over the best structure of this formula in the dataset does entry 2 give? 0 meV/atom